No. 1
# Nd2Er2Mg PBE-GGA optimized geometry
# E above lowest polymorph (meV/atom): 363
data_Nd2Er2Mg
_chemical_formula_sum 'Nd4 Er4 Mg2'
_space_group_name_H-M_alt 'I 4/m m m'
_space_group_IT_number 139
_space_group_name_Hall '-I 4 2'
_cell_length_a 4.3939
_cell_length_b 4.3939
_cell_length_c 17.6669
_cell_angle_alpha 90.00
_cell_angle_beta 90.00
_cell_angle_gamma 90.00
loop_
_atom_site_label
_atom_site_fract_x
_atom_site_fract_y
_atom_site_fract_z
_atom_site_occupancy
Nd1 0.0000 0.0000 0.0929 1
Er1 0.0000 0.5000 0.2500 1
Mg1 0.0000 0.0000 0.5000 1

No. 2
VASP calculation (PBE-GGA) on crystalline Nd2ErMg9 at its relaxed geometry.

Structure (CIF):
```
data_Nd2ErMg9
_chemical_formula_sum 'Nd6 Er3 Mg27'
_space_group_name_H-M_alt 'R -3 m'
_space_group_IT_number 166
_space_group_name_Hall '-R 3 2"'
_cell_length_a 6.0743
_cell_length_b 6.0743
_cell_length_c 29.4103
_cell_angle_alpha 90.00
_cell_angle_beta 90.00
_cell_angle_gamma 120.00
loop_
_atom_site_label
_atom_site_fract_x
_atom_site_fract_y
_atom_site_fract_z
_atom_site_occupancy
Nd1 0.0000 0.0000 0.1413 1
Er1 0.0000 0.0000 0.0000 1
Mg1 0.0000 0.0000 0.3339 1
Mg2 0.0000 0.0000 0.5000 1
Mg3 0.0036 0.5018 0.9171 1
```

No. 3
VASP calculation (PBE-GGA) on crystalline Nd2ErMg5 at its relaxed geometry.

Structure (CIF):
```
data_Nd2ErMg5
_chemical_formula_sum 'Nd4 Er2 Mg10'
_space_group_name_H-M_alt 'I 4/m m m'
_space_group_IT_number 139
_space_group_name_Hall '-I 4 2'
_cell_length_a 5.2418
_cell_length_b 5.2418
_cell_length_c 15.7436
_cell_angle_alpha 90.00
_cell_angle_beta 90.00
_cell_angle_gamma 90.00
loop_
_atom_site_label
_atom_site_fract_x
_atom_site_fract_y
_atom_site_fract_z
_atom_site_occupancy
Nd1 0.0000 0.0000 0.2417 1
Er1 0.0000 0.0000 0.5000 1
Mg1 0.0000 0.0000 0.0000 1
Mg2 0.0000 0.5000 0.1138 1
```

No. 4
# NdEr2Mg PBE-GGA optimized geometry
# E above lowest polymorph (meV/atom): 50
data_NdEr2Mg
_chemical_formula_sum 'Nd1 Er2 Mg1'
_space_group_name_H-M_alt 'P 4/m m m'
_space_group_IT_number 123
_space_group_name_Hall '-P 4 2'
_cell_length_a 4.9036
_cell_length_b 4.9036
_cell_length_c 4.9809
_cell_angle_alpha 90.00
_cell_angle_beta 90.00
_cell_angle_gamma 90.00
loop_
_atom_site_label
_atom_site_fract_x
_atom_site_fract_y
_atom_site_fract_z
_atom_site_occupancy
Nd1 0.0000 0.0000 0.0000 1
Er1 0.0000 0.5000 0.5000 1
Mg1 0.5000 0.5000 0.0000 1

No. 5
VASP calculation (PBE-GGA) on crystalline NdEr3Mg8 at its relaxed geometry.

Structure (CIF):
```
data_NdEr3Mg8
_chemical_formula_sum 'Nd3 Er9 Mg24'
_space_group_name_H-M_alt 'R 3 m'
_space_group_IT_number 160
_space_group_name_Hall 'R 3 -2"'
_cell_length_a 6.0466
_cell_length_b 6.0466
_cell_length_c 29.4920
_cell_angle_alpha 90.00
_cell_angle_beta 90.00
_cell_angle_gamma 120.00
loop_
_atom_site_label
_atom_site_fract_x
_atom_site_fract_y
_atom_site_fract_z
_atom_site_occupancy
Nd1 0.0000 0.0000 0.0000 1
Er1 0.0000 0.0000 0.3765 1
Er2 0.0000 0.0000 0.5006 1
Er3 0.0000 0.0000 0.8744 1
Mg1 0.0000 0.0000 0.1879 1
Mg2 0.0000 0.0000 0.6878 1
Mg3 0.0014 0.5007 0.4387 1
Mg4 0.1673 0.3345 0.2703 1
```

No. 6
VASP calculation (PBE-GGA) on crystalline Nd2Er7Mg at its relaxed geometry.

Structure (CIF):
```
data_Nd2Er7Mg
_chemical_formula_sum 'Nd4 Er14 Mg2'
_space_group_name_H-M_alt 'C m m m'
_space_group_IT_number 65
_space_group_name_Hall '-C 2 2'
_cell_length_a 8.5790
_cell_length_b 17.0675
_cell_length_c 5.0791
_cell_angle_alpha 90.00
_cell_angle_beta 90.00
_cell_angle_gamma 90.00
loop_
_atom_site_label
_atom_site_fract_x
_atom_site_fract_y
_atom_site_fract_z
_atom_site_occupancy
Nd1 0.0000 0.2035 0.0000 1
Er1 0.0000 0.0000 0.0000 1
Er2 0.0000 0.3053 0.5000 1
Er3 0.1786 0.3978 0.0000 1
Mg1 0.0000 0.5000 0.5000 1
```

One value per record, in order, for total energy: -37.066; -86.648; -45.270; -15.397; -96.115; -72.669 eV for the cell shown.